Record 1
An optimized crystal structure of Al2RhW2, computed with PBE.

Summary:
The value obtained for the energy above the most stable polymorph in this dataset is 0.264 eV/atom. The formation enthalpy at 0 K is 0.5743 eV/atom. The magnetic moment comes out at 0.001 μB/f.u. The calculated total energy is -7.574 eV per atom.

Cell: 3.484 3.484 7.222 Å, 76.04 76.04 90.00°
Positions (direct):
W  0.404  0.404  0.192
W  0.596  0.596  0.808
Al  0.750  0.250  0.500
Al  0.250  0.750  0.500
Rh  0.000  0.000  0.000

***

Record 2
An optimized crystal structure of Al4RhW, computed with PBE.

Summary:
The formation enthalpy at 0 K is 0.0453 eV/atom. The magnetic moment comes out at 0.000 μB/f.u. The calculated total energy is -5.834 eV per atom.

Cell: 5.005 5.005 5.005 Å, 60.00 60.00 60.00°
Positions (direct):
Al  0.375  0.375  0.375
Al  0.875  0.375  0.375
Al  0.375  0.875  0.375
Al  0.375  0.375  0.875
Rh  0.750  0.750  0.750
W  0.000  0.000  0.000

***

Record 3
An optimized crystal structure of AlRhW2, computed with PBE.

Summary:
The formation enthalpy at 0 K is -0.0430 eV/atom. The magnetic moment comes out at 0.000 μB/f.u. The calculated total energy is -9.293 eV per atom.

Cell: 4.990 4.990 4.990 Å, 140.33 128.28 67.09°
Positions (direct):
W  0.997  0.997  0.000
W  0.756  0.256  0.500
Al  0.492  0.492  0.000
Rh  0.254  0.754  0.500

***

Record 4
An optimized crystal structure of AlRh2W, computed with PBE.

Summary:
The formation enthalpy at 0 K is -0.3312 eV/atom. The magnetic moment comes out at 0.000 μB/f.u. The calculated total energy is -8.181 eV per atom.

Cell: 5.250 5.250 5.250 Å, 147.98 129.75 60.84°
Positions (direct):
Al  0.757  0.257  0.500
Rh  0.256  0.756  0.500
Rh  0.978  0.978  0.000
W  0.510  0.510  0.000

***

Record 5
An optimized crystal structure of AlRhW2, computed with PBE.

Summary:
The formation enthalpy at 0 K is -0.1060 eV/atom. The magnetic moment comes out at 0.000 μB/f.u. The calculated total energy is -9.356 eV per atom.

Cell: 4.419 4.419 4.419 Å, 60.00 60.00 60.00°
Positions (direct):
W  0.000  0.000  0.000
W  0.250  0.250  0.250
Rh  0.750  0.750  0.750
Al  0.500  0.500  0.500

***

Record 6
An optimized crystal structure of Al2Rh2W, computed with PBE.

Summary:
The formation enthalpy at 0 K is -0.4699 eV/atom. The magnetic moment comes out at 0.000 μB/f.u. The calculated total energy is -7.498 eV per atom.

Cell: 7.166 7.166 2.808 Å, 90.00 90.00 90.00°
Positions (direct):
Rh  0.164  0.664  0.500
Rh  0.664  0.836  0.500
Rh  0.336  0.164  0.500
Rh  0.836  0.336  0.500
Al  0.634  0.134  0.000
Al  0.866  0.634  0.000
Al  0.134  0.366  0.000
Al  0.366  0.866  0.000
W  0.500  0.500  0.000
W  0.000  0.000  0.000

***

Record 7
An optimized crystal structure of AlRhW2, computed with PBE.

Summary:
The formation enthalpy at 0 K is 0.0230 eV/atom. The magnetic moment comes out at 0.000 μB/f.u. The calculated total energy is -9.227 eV per atom.

Cell: 9.188 9.188 9.188 Å, 17.59 17.59 17.59°
Positions (direct):
Rh  0.750  0.750  0.750
Al  0.250  0.250  0.250
W  0.499  0.499  0.499
W  0.001  0.001  0.001

***

Record 8
An optimized crystal structure of AlRhW2, computed with PBE.

Summary:
The formation enthalpy at 0 K is -0.2099 eV/atom. The magnetic moment comes out at 0.000 μB/f.u. The calculated total energy is -9.460 eV per atom.

Cell: 2.798 2.798 7.722 Å, 90.00 90.00 90.07°
Positions (direct):
W  0.000  0.000  0.980
W  0.500  0.500  0.262
Al  0.000  0.000  0.519
Rh  0.500  0.500  0.738

***

Record 9
An optimized crystal structure of AlRh2W, computed with PBE.

Summary:
The formation enthalpy at 0 K is -0.4207 eV/atom. The magnetic moment comes out at 0.000 μB/f.u. The calculated total energy is -8.270 eV per atom.

Cell: 4.618 4.618 2.815 Å, 90.00 90.00 103.39°
Positions (direct):
Rh  0.500  0.500  0.000
Rh  0.000  0.000  0.000
W  0.500  0.000  0.500
Al  0.000  0.500  0.500

***

Record 10
An optimized crystal structure of Al2RhW2, computed with PBE.

Summary:
The value obtained for the energy above the most stable polymorph in this dataset is 0.000 eV/atom. The formation enthalpy at 0 K is 0.3104 eV/atom. The magnetic moment comes out at 0.000 μB/f.u. The calculated total energy is -7.838 eV per atom.

Cell: 7.708 7.708 2.761 Å, 90.00 90.00 90.00°
Positions (direct):
Al  0.318  0.182  0.500
Al  0.818  0.318  0.500
Al  0.682  0.818  0.500
Al  0.182  0.682  0.500
Rh  0.000  0.000  0.000
Rh  0.500  0.500  0.000
W  0.116  0.384  0.000
W  0.884  0.616  0.000
W  0.616  0.116  0.000
W  0.384  0.884  0.000

***

Record 11
An optimized crystal structure of AlRhW2, computed with PBE.

Summary:
The formation enthalpy at 0 K is -0.0822 eV/atom. The magnetic moment comes out at 0.000 μB/f.u. The calculated total energy is -9.332 eV per atom.

Cell: 2.779 2.779 7.847 Å, 90.00 90.00 90.02°
Positions (direct):
Rh  0.500  0.500  0.750
Al  0.500  0.500  0.250
W  0.000  0.000  0.500
W  0.000  0.000  0.000

***

Record 12
An optimized crystal structure of AlRh2W, computed with PBE.

Summary:
The formation enthalpy at 0 K is -0.2984 eV/atom. The magnetic moment comes out at 0.000 μB/f.u. The calculated total energy is -8.148 eV per atom.

Cell: 4.625 4.625 4.856 Å, 80.66 80.66 35.04°
Positions (direct):
W  0.750  0.750  0.750
Rh  0.504  0.504  0.500
Rh  0.996  0.996  0.000
Al  0.250  0.250  0.250